## NaLa2H2 (PBE-GGA)

Data for a geometry-optimized NaLa2H2 structure.

Cell: 7.3480 7.3480 3.7449 Å, 90.00 90.00 90.00°
Closest atoms and distances in Å follow each position.
Space group P4/mbm (No. 127)
Inequivalent atoms, fractional coordinates:
Na: 0.0000 0.0000 0.0000 x2  4 H 2.82
La: 0.1700 0.3300 0.5000 x4  6 H 2.69-2.98
H: 0.1436 0.6436 0.0000 x4  6 La 2.69-2.98, 2 Na 2.82, 1 H 2.98

Output
- VASP energy (eV per atom) = -3.512
- size of the total moment (μB per formula unit) = 0.0
- calculated volume (Å³/cell) = 202.20


## NaLa2H (PBE-GGA)

Data for a geometry-optimized NaLa2H structure.

Cell: 3.6022 3.6022 30.8389 Å, 90.00 90.00 120.00°
Closest atoms and distances in Å follow each position.
Space group R-3m (No. 166, hexagonal axes)
Inequivalent atoms, fractional coordinates:
Na: 0.0000 0.0000 0.0000 x3  6 Na 3.60, 2 La 3.62
La: 0.0000 0.0000 0.1174 x6  3 H 2.58
H: 0.0000 0.0000 0.5000 x3  6 La 2.58

Output
- ΔE to the lowest computed polymorph (eV/atom) = 0.048
- VASP energy (eV per atom) = -3.689
- size of the total moment (μB per formula unit) = 0.0
- calculated volume (Å³/cell) = 346.56


## Na2La2H (PBE-GGA)

Data for a geometry-optimized Na2La2H structure.

Cell: 6.7677 6.7677 6.7244 Å, 90.00 90.00 90.00°
Closest atoms and distances in Å follow each position.
Space group P4/mbm (No. 127)
Inequivalent atoms, fractional coordinates:
Na: 0.1694 0.3306 0.0000 x4  5 Na 3.24-3.56
La: 0.1741 0.6741 0.5000 x4  2 H 2.50
H: 0.0000 0.0000 0.5000 x2  4 La 2.50

Output
- VASP energy (eV per atom) = -3.095
- size of the total moment (μB per formula unit) = 0.0
- calculated volume (Å³/cell) = 307.99


## Na2LaH6 (PBE-GGA)

Data for a geometry-optimized Na2LaH6 structure.

Cell: 8.2968 8.2968 8.2968 Å, 90.00 90.00 90.00°
Closest atoms and distances in Å follow each position.
Space group Fm-3m (No. 225)
Inequivalent atoms, fractional coordinates:
Na: 0.2500 0.2500 0.2500 x8  12 H 2.94
La: 0.0000 0.0000 0.0000 x4  6 H 2.28
H: 0.0000 0.0000 0.2747 x24  1 La 2.28

Output
- VASP energy (eV per atom) = -2.718
- size of the total moment (μB per formula unit) = 0.0
- calculated volume (Å³/cell) = 571.12


## Na3LaH (PBE-GGA)

Data for a geometry-optimized Na3LaH structure.

Cell: 5.2092 5.2092 5.2092 Å, 90.00 90.00 90.00°
Closest atoms and distances in Å follow each position.
Space group Pm-3m (No. 221)
Inequivalent atoms, fractional coordinates:
Na: 0.0000 0.0000 0.5000 x3  2 H 2.60
La: 0.5000 0.5000 0.5000 x1  12 Na 3.68
H: 0.0000 0.0000 0.0000 x1  6 Na 2.60

Output
- VASP energy (eV per atom) = -2.042
- size of the total moment (μB per formula unit) = 0.1
- calculated volume (Å³/cell) = 141.36


## NaLa2H (PBE-GGA)

Data for a geometry-optimized NaLa2H structure.

Cell: 7.6123 7.6123 7.6123 Å, 90.00 90.00 90.00°
Closest atoms and distances in Å follow each position.
Space group Fm-3m (No. 225)
Inequivalent atoms, fractional coordinates:
Na: 0.0000 0.0000 0.0000 x4  8 La 3.30
La: 0.2500 0.2500 0.2500 x8  4 H 3.30, 4 Na 3.30
H: 0.0000 0.0000 0.5000 x4  8 La 3.30

Output
- ΔE to the lowest computed polymorph (eV/atom) = 0.648
- VASP energy (eV per atom) = -3.089
- size of the total moment (μB per formula unit) = 0.0
- calculated volume (Å³/cell) = 441.11


## NaLa2H (PBE-GGA)

Data for a geometry-optimized NaLa2H structure.

Cell: 6.3769 3.6759 9.9321 Å, 90.00 102.72 90.00°
Closest atoms and distances in Å follow each position.
Space group Cm (No. 8)
Inequivalent atoms, fractional coordinates:
Na: 0.0000 0.0000 0.0000 x2  6 Na 3.68, 6 La 3.96-3.98
La: 0.2198 0.0000 0.6544 x2  3 H 2.59-2.60
La: 0.4466 0.0000 0.3468 x2  3 H 2.59-2.60
H: 0.3335 0.5000 0.5010 x2  6 La 2.59-2.60

Output
- ΔE to the lowest computed polymorph (eV/atom) = 0.000
- VASP energy (eV per atom) = -3.737
- size of the total moment (μB per formula unit) = 0.0
- calculated volume (Å³/cell) = 227.11


## Na3La12H5 (PBE-GGA)

Data for a geometry-optimized Na3La12H5 structure.

Cell: 16.6820 16.6820 16.6820 Å, 90.00 90.00 90.00°
Closest atoms and distances in Å follow each position.
Space group Ia-3d (No. 230)
Inequivalent atoms, fractional coordinates:
Na: 0.0000 0.2500 0.1250 x24  8 La 3.40-3.44
La: 0.0464 0.0526 0.6478 x96  1 H 2.32
H: 0.0000 0.0000 0.0000 x16  6 La 2.73
H: 0.0000 0.2500 0.3750 x24  4 La 2.32

Output
- VASP energy (eV per atom) = -3.997
- size of the total moment (μB per formula unit) = 0.0
- calculated volume (Å³/cell) = 4642.38